P) Density functional theory data (PBE) for Zr4CuHg after structural relaxation.

Cell lengths 3.2044, 3.2044, 12.3021 Å; angles 90.00, 90.00, 90.00 degrees
Closest atoms and distances in Å follow each position.
Space group P4/mmm (No. 123)
Unique sites:
Zr  0.0000  0.0000  0.1416 [2 per cell]  4 Cu 2.86, 4 Zr 3.17
Zr  0.5000  0.5000  0.3212 [2 per cell]  4 Hg 3.16, 8 Zr 3.17-3.20
Cu  0.5000  0.5000  0.0000 [1 per cell]  8 Zr 2.86
Hg  0.0000  0.0000  0.5000 [1 per cell]  8 Zr 3.16, 4 Hg 3.20

M_tot: 0.000 μB/atom
ρ: 8.3 g cm⁻³
Crystal system: tetragonal

Q) Density functional theory data (PBE) for Zr4CuHg after structural relaxation.

Cell lengths 6.8682, 6.8682, 5.3901 Å; angles 90.00, 90.00, 90.00 degrees
Closest atoms and distances in Å follow each position.
Space group P4/mcc (No. 124)
Unique sites:
Zr  0.1414  0.3345  0.0000 [8 per cell]  2 Cu 2.84, 1 Zr 2.99, 2 Hg 3.03
Cu  0.0000  0.0000  0.2500 [2 per cell]  2 Cu 2.70, 8 Zr 2.84
Hg  0.5000  0.5000  0.2500 [2 per cell]  2 Hg 2.70

M_tot: 0.000 μB/atom
ρ: 8.2 g cm⁻³
Crystal system: tetragonal

R) Density functional theory data (PBE) for Zr4CuHg after structural relaxation.

Cell lengths 8.0701, 8.0701, 8.0701 Å; angles 90.00, 90.00, 90.00 degrees
Closest atoms and distances in Å follow each position.
Space group F-43m (No. 216)
Unique sites:
Zr  0.1249  0.1249  0.1249 [16 per cell]  6 Zr 2.85-2.86
Cu  0.2500  0.2500  0.7500 [4 per cell]  12 Zr 3.35, 4 Hg 3.49
Hg  0.0000  0.0000  0.5000 [4 per cell]  12 Zr 3.35, 4 Cu 3.49

M_tot: 0.000 μB/atom
ρ: 7.9 g cm⁻³
Crystal system: cubic

Relative energies, unit kJ/mol of atoms: P) 0.0; Q) 10.2; R) 53.8

P) Density functional theory data (PBE) for ZrCuHg3 after structural relaxation.

Cell lengths 4.8637, 4.8637, 4.8637 Å; angles 90.00, 90.00, 90.00 degrees
Closest atoms and distances in Å follow each position.
Space group Pm-3m (No. 221)
Unique sites:
Zr  0.0000  0.0000  0.0000 [1 per cell]  12 Hg 3.44
Cu  0.5000  0.5000  0.5000 [1 per cell]  6 Hg 2.43
Hg  0.0000  0.5000  0.5000 [3 per cell]  2 Cu 2.43

M_tot: 0.000 μB/atom
ρ: 10.9 g cm⁻³
Crystal system: cubic

Q) Density functional theory data (PBE) for ZrCuHg3 after structural relaxation.

Cell lengths 5.6086, 5.6086, 5.6086 Å; angles 90.00, 90.00, 90.00 degrees
Closest atoms and distances in Å follow each position.
Space group Pm-3m (No. 221)
Unique sites:
Zr  0.0000  0.0000  0.0000 [1 per cell]  6 Hg 2.80
Cu  0.5000  0.5000  0.5000 [1 per cell]  12 Hg 3.97
Hg  0.0000  0.0000  0.5000 [3 per cell]  2 Zr 2.80

M_tot: 0.000 μB/atom
ρ: 7.1 g cm⁻³
Crystal system: cubic

Relative energies, unit kJ/mol of atoms: P) 0.0; Q) 48.2